# 1
A plane-wave DFT calculation with PBE-GGA was carried out for a relaxed structure of VIrRuS2.

It has space group P4/mmm (No. 123), with a = 4.540 Å, b = 4.540 Å, c = 4.596 Å, α = 90.00°, β = 90.00° and γ = 90.00°. Symmetry generates all atoms from V at (0.000, 0.000, 0.000), Ir at (0.000, 0.000, 0.500), Ru at (0.500, 0.500, 0.000) and S at (0.000, 0.500, 0.500).

The calculation puts the volume at 94.70 Å³ per cell. The uncorrected formation energy is 1330 meV/atom.

# 2
A plane-wave DFT calculation with PBE-GGA was carried out for a relaxed structure of SbIr2Ru.

It has space group F-43m (No. 216), with a = 6.375 Å, b = 6.375 Å, c = 6.375 Å, α = 90.00°, β = 90.00° and γ = 90.00°. Symmetry generates all atoms from Sb at (0.000, 0.000, 0.000), Ir at (0.000, 0.000, 0.500), Ir at (0.250, 0.250, 0.250) and Ru at (0.250, 0.250, 0.750).

The calculation puts the volume at 259.07 Å³ per cell. The uncorrected formation energy is 379 meV/atom.

# 3
A plane-wave DFT calculation with PBE-GGA was carried out for a relaxed structure of SbIr2Ru.

It has space group R-3m (No. 166, hexagonal axes), with a = 2.9228 Å, b = 2.9228 Å, c = 26.3732 Å, α = 90.00°, β = 90.00° and γ = 120.00°. Symmetry generates all atoms from Sb at (0.0000, 0.0000, 0.0000), Ir at (0.0000, 0.0000, 0.2472) and Ru at (0.0000, 0.0000, 0.5000).

The calculation puts the volume at 195.11 Å³ per cell. The uncorrected formation energy is 410 meV/atom.

# 4
A plane-wave DFT calculation with PBE-GGA was carried out for a relaxed structure of SbIr2Ru.

It has space group I-4m2 (No. 119), with a = 4.055 Å, b = 4.055 Å, c = 7.640 Å, α = 90.00°, β = 90.00° and γ = 90.00°. Symmetry generates all atoms from Sb at (0.000, 0.000, 0.000), Ir at (0.000, 0.000, 0.500), Ir at (0.000, 0.500, 0.250) and Ru at (0.000, 0.500, 0.750).

The calculation puts the volume at 125.63 Å³ per cell. The uncorrected formation energy is 157 meV/atom.

Which of these has the highest volume? number 2

The lowest volume belongs to which entry? VIrRuS2

Which value of volume does entry 4 give? 125.63 Å³ per cell